CuSiRuRh | PBE | relaxed

Lattice parameters (Å, degrees): 4.173 4.173 4.173 60.00 60.00 60.00
Fractional positions:
Cu  0.000  0.000  0.000
Si  0.500  0.500  0.500
Ru  0.750  0.750  0.750
Rh  0.250  0.250  0.250

Energy ... -6.91 eV/atom
Energy relative to the elements, uncorrected ... -8.5 kcal/mol of atoms
DOS at the Fermi energy ... 4.14 states/eV/cell